Record 1
VASP calculation (PBE) on a relaxed structure of ZnIn2Pt.

It has space group P4/mmm (No. 123), with a = 4.979 Å, b = 4.979 Å, c = 3.107 Å, α = 90.00°, β = 90.00° and γ = 90.00°. The asymmetric unit holds Zn at (0.000, 0.000, 0.000), In at (0.000, 0.500, 0.500) and Pt at (0.500, 0.500, 0.000).

As for the density of states at the Fermi level: 1.344 states/eV/cell. The calculation puts the formation energy from the elements at -79.3 meV/atom. The size of the total moment is 0.00 μB per cell.

=====

Record 2
VASP calculation (PBE) on a relaxed structure of ZnIn2Pt.

It has space group Pmm2 (No. 25), with a = 2.906 Å, b = 3.773 Å, c = 7.472 Å, α = 90.00°, β = 90.00° and γ = 90.00°. The asymmetric unit holds Zn at (0.000, 0.000, 0.000), In at (0.000, 0.000, 0.601), In at (0.500, 0.500, 0.262) and Pt at (0.500, 0.500, 0.838).

As for the density of states at the Fermi level: 0.877 states/eV/cell. The calculation puts the formation energy from the elements at -177.4 meV/atom. The size of the total moment is 0.00 μB per cell.

=====

Record 3
VASP calculation (PBE) on a relaxed structure of ZnInPt.

It has space group I4mm (No. 107), with a = 3.455 Å, b = 3.455 Å, c = 8.697 Å, α = 90.00°, β = 90.00° and γ = 90.00°. The asymmetric unit holds Zn at (0.000, 0.000, 0.000), In at (0.000, 0.000, 0.680) and Pt at (0.000, 0.000, 0.355).

As for the density of states at the Fermi level: 0.850 states/eV/cell. The calculation puts the formation energy from the elements at -329.6 meV/atom. The size of the total moment is 0.00 μB per cell.

=====

Record 4
VASP calculation (PBE) on a relaxed structure of ZnInPt3.

It has space group Pm-3m (No. 221), with a = 4.941 Å, b = 4.941 Å, c = 4.941 Å, α = 90.00°, β = 90.00° and γ = 90.00°. The asymmetric unit holds Zn at (0.000, 0.000, 0.000), In at (0.500, 0.500, 0.500) and Pt at (0.000, 0.500, 0.500).

As for the density of states at the Fermi level: 3.767 states/eV/cell. The calculation puts the formation energy from the elements at 1017.7 meV/atom. The size of the total moment is 0.00 μB per cell. As for the energy above the most stable polymorph in this dataset: 293.1 kJ/mol of formula units.

=====

Record 5
VASP calculation (PBE) on a relaxed structure of Zn2InPt2.

It has space group P4/mbm (No. 127), with a = 7.569 Å, b = 7.569 Å, c = 2.864 Å, α = 90.00°, β = 90.00° and γ = 90.00°. The asymmetric unit holds Zn at (0.123, 0.377, 0.000), In at (0.000, 0.000, 0.000) and Pt at (0.172, 0.672, 0.500).

As for the density of states at the Fermi level: 2.287 states/eV/cell. The calculation puts the formation energy from the elements at -406.7 meV/atom. The size of the total moment is 0.00 μB per cell. As for the energy above the most stable polymorph in this dataset: 11.5 kJ/mol of formula units.

=====

Record 6
VASP calculation (PBE) on a relaxed structure of ZnIn2Pt.

It has space group Imm2 (No. 44), with a = 2.932 Å, b = 4.649 Å, c = 12.269 Å, α = 90.00°, β = 90.00° and γ = 90.00°. The asymmetric unit holds Zn at (0.000, 0.000, 0.000), In at (0.000, 0.000, 0.601), In at (0.000, 0.500, 0.808) and Pt at (0.000, 0.500, 0.314).

As for the density of states at the Fermi level: 2.492 states/eV/cell. The calculation puts the formation energy from the elements at -187.5 meV/atom. The size of the total moment is 0.00 μB per cell.

=====

Record 7
VASP calculation (PBE) on a relaxed structure of ZnInPt4.

It has space group F-43m (No. 216), with a = 7.543 Å, b = 7.543 Å, c = 7.543 Å, α = 90.00°, β = 90.00° and γ = 90.00°. The asymmetric unit holds Zn at (0.000, 0.000, 0.000), In at (0.250, 0.250, 0.750) and Pt at (0.125, 0.125, 0.375).

As for the density of states at the Fermi level: 33.186 states/eV/cell. The calculation puts the formation energy from the elements at -100.4 meV/atom. The size of the total moment is 0.00 μB per cell. As for the energy above the most stable polymorph in this dataset: 123.6 kJ/mol of formula units.

=====

Record 8
VASP calculation (PBE) on a relaxed structure of ZnInPt.

It has space group P3m1 (No. 156), with a = 3.0754 Å, b = 3.0754 Å, c = 6.6359 Å, α = 90.00°, β = 90.00° and γ = 120.00°. The asymmetric unit holds Zn at (0.0000, 0.0000, 0.0000), In at (0.3333, 0.6667, 0.3689) and Pt at (0.6667, 0.3333, 0.7075).

As for the density of states at the Fermi level: 1.097 states/eV/cell. The calculation puts the formation energy from the elements at -139.5 meV/atom. The size of the total moment is 0.00 μB per cell.

=====

Record 9
VASP calculation (PBE) on a relaxed structure of Zn4InPt5.

It has space group P4/mmm (No. 123), with a = 3.108 Å, b = 3.108 Å, c = 15.838 Å, α = 90.00°, β = 90.00° and γ = 90.00°. The asymmetric unit holds Zn at (0.000, 0.000, 0.095), Zn at (0.000, 0.000, 0.286), In at (0.000, 0.000, 0.500), Pt at (0.500, 0.500, 0.000), Pt at (0.500, 0.500, 0.190) and Pt at (0.500, 0.500, 0.383).

As for the density of states at the Fermi level: 3.580 states/eV/cell. The calculation puts the formation energy from the elements at -496.1 meV/atom. The size of the total moment is 0.00 μB per cell.

=====

Record 10
VASP calculation (PBE) on a relaxed structure of ZnIn2Pt.

It has space group C2/m (No. 12), with a = 8.876 Å, b = 3.765 Å, c = 4.875 Å, α = 90.00°, β = 102.91° and γ = 90.00°. The asymmetric unit holds Zn at (0.000, 0.000, 0.000), In at (0.239, 0.000, 0.738) and Pt at (0.000, 0.500, 0.500).

As for the density of states at the Fermi level: 2.944 states/eV/cell. The calculation puts the formation energy from the elements at -122.1 meV/atom. The size of the total moment is 0.00 μB per cell.

=====

Record 11
VASP calculation (PBE) on a relaxed structure of Zn2InPt2.

It has space group Pmmn (No. 59, origin choice 2), with a = 4.050 Å, b = 4.374 Å, c = 10.065 Å, α = 90.00°, β = 90.00° and γ = 90.00°. The asymmetric unit holds Zn at (0.250, 0.250, 0.007), Zn at (0.250, 0.250, 0.677), In at (0.250, 0.250, 0.309), Pt at (0.250, 0.750, 0.152) and Pt at (0.250, 0.750, 0.503).

As for the density of states at the Fermi level: 3.311 states/eV/cell. The calculation puts the formation energy from the elements at -402.0 meV/atom. The size of the total moment is 0.00 μB per cell. As for the energy above the most stable polymorph in this dataset: 13.8 kJ/mol of formula units.

=====

Record 12
VASP calculation (PBE) on a relaxed structure of ZnIn2Pt9.

It has space group P4/mmm (No. 123), with a = 4.013 Å, b = 4.013 Å, c = 12.018 Å, α = 90.00°, β = 90.00° and γ = 90.00°. The asymmetric unit holds Zn at (0.000, 0.000, 0.000), In at (0.000, 0.000, 0.329), Pt at (0.000, 0.500, 0.158), Pt at (0.000, 0.500, 0.500), Pt at (0.500, 0.500, 0.000) and Pt at (0.500, 0.500, 0.330).

As for the density of states at the Fermi level: 11.225 states/eV/cell. The calculation puts the formation energy from the elements at -358.4 meV/atom. The size of the total moment is 0.00 μB per cell.

=====

Record 13
VASP calculation (PBE) on a relaxed structure of Zn8InPt2.

It has space group C2/m (No. 12), with a = 11.966 Å, b = 6.279 Å, c = 5.131 Å, α = 90.00°, β = 102.29° and γ = 90.00°. The asymmetric unit holds Zn at (0.082, 0.000, 0.384), Zn at (0.100, 0.212, 0.930), Zn at (0.220, 0.500, 0.280), In at (0.000, 0.500, 0.500) and Pt at (0.225, 0.500, 0.775).

As for the density of states at the Fermi level: 6.027 states/eV/cell. The calculation puts the formation energy from the elements at -183.2 meV/atom. The size of the total moment is 0.00 μB per cell.

=====

Record 14
VASP calculation (PBE) on a relaxed structure of ZnIn2Pt.

It has space group I-42d (No. 122), with a = 9.006 Å, b = 9.006 Å, c = 4.992 Å, α = 90.00°, β = 90.00° and γ = 90.00°. The asymmetric unit holds Zn at (0.000, 0.000, 0.000), In at (0.147, 0.750, 0.625) and Pt at (0.000, 0.000, 0.500).

As for the density of states at the Fermi level: 8.463 states/eV/cell. The calculation puts the formation energy from the elements at -138.1 meV/atom. The size of the total moment is 0.00 μB per cell.

=====

Record 15
VASP calculation (PBE) on a relaxed structure of ZnIn2Pt.

It has space group R-3m (No. 166, hexagonal axes), with a = 3.2859 Å, b = 3.2859 Å, c = 25.9387 Å, α = 90.00°, β = 90.00° and γ = 120.00°. The asymmetric unit holds Zn at (0.0000, 0.0000, 0.0000), In at (0.0000, 0.0000, 0.2454) and Pt at (0.0000, 0.0000, 0.5000).

As for the density of states at the Fermi level: 4.990 states/eV/cell. The calculation puts the formation energy from the elements at -86.6 meV/atom. The size of the total moment is 0.00 μB per cell.

=====

Record 16
VASP calculation (PBE) on a relaxed structure of ZnInPt.

It has space group I4mm (No. 107), with a = 3.053 Å, b = 3.053 Å, c = 11.483 Å, α = 90.00°, β = 90.00° and γ = 90.00°. The asymmetric unit holds Zn at (0.000, 0.000, 0.000), In at (0.000, 0.000, 0.306) and Pt at (0.000, 0.000, 0.635).

As for the density of states at the Fermi level: 2.628 states/eV/cell. The calculation puts the formation energy from the elements at -234.1 meV/atom. The size of the total moment is 0.00 μB per cell.

=====

Record 17
VASP calculation (PBE) on a relaxed structure of ZnIn2Pt.

It has space group R3m (No. 160, hexagonal axes), with a = 3.2442 Å, b = 3.2442 Å, c = 26.9028 Å, α = 90.00°, β = 90.00° and γ = 120.00°. The asymmetric unit holds Zn at (0.0000, 0.0000, 0.0000), In at (0.0000, 0.0000, 0.5231), In at (0.0000, 0.0000, 0.7549) and Pt at (0.0000, 0.0000, 0.2665).

As for the density of states at the Fermi level: 4.001 states/eV/cell. The calculation puts the formation energy from the elements at -98.4 meV/atom. The size of the total moment is 0.00 μB per cell.

=====

Record 18
VASP calculation (PBE) on a relaxed structure of Zn2In2Pt.

It has space group P4/mbm (No. 127), with a = 6.738 Å, b = 6.738 Å, c = 4.253 Å, α = 90.00°, β = 90.00° and γ = 90.00°. The asymmetric unit holds Zn at (0.136, 0.364, 0.000), In at (0.173, 0.673, 0.500) and Pt at (0.000, 0.000, 0.000).

As for the density of states at the Fermi level: 3.589 states/eV/cell. The calculation puts the formation energy from the elements at -61.6 meV/atom. The size of the total moment is 0.00 μB per cell. As for the energy above the most stable polymorph in this dataset: 0.0 kJ/mol of formula units.

=====

Record 19
VASP calculation (PBE) on a relaxed structure of Zn2InPt2.

It has space group I4/mmm (No. 139), with a = 3.998 Å, b = 3.998 Å, c = 11.385 Å, α = 90.00°, β = 90.00° and γ = 90.00°. The asymmetric unit holds Zn at (0.000, 0.000, 0.109), In at (0.000, 0.000, 0.500) and Pt at (0.000, 0.500, 0.250).

As for the density of states at the Fermi level: 3.471 states/eV/cell. The calculation puts the formation energy from the elements at -188.1 meV/atom. The size of the total moment is 0.00 μB per cell. As for the energy above the most stable polymorph in this dataset: 116.9 kJ/mol of formula units.

=====

Record 20
VASP calculation (PBE) on a relaxed structure of Zn2InPt2.

It has space group P4/mbm (No. 127), with a = 7.539 Å, b = 7.539 Å, c = 2.944 Å, α = 90.00°, β = 90.00° and γ = 90.00°. The asymmetric unit holds Zn at (0.140, 0.360, 0.000), In at (0.000, 0.000, 0.500) and Pt at (0.156, 0.656, 0.500).

As for the density of states at the Fermi level: 2.284 states/eV/cell. The calculation puts the formation energy from the elements at -430.5 meV/atom. The size of the total moment is 0.00 μB per cell. As for the energy above the most stable polymorph in this dataset: 0.0 kJ/mol of formula units.

=====

Record 21
VASP calculation (PBE) on a relaxed structure of ZnInPt4.

It has space group C2/m (No. 12), with a = 9.436 Å, b = 3.759 Å, c = 5.729 Å, α = 90.00°, β = 107.04° and γ = 90.00°. The asymmetric unit holds Zn at (0.000, 0.000, 0.000), In at (0.000, 0.000, 0.500), Pt at (0.160, 0.500, 0.839) and Pt at (0.161, 0.500, 0.324).

As for the density of states at the Fermi level: 6.892 states/eV/cell. The calculation puts the formation energy from the elements at -313.9 meV/atom. The size of the total moment is 0.00 μB per cell. As for the energy above the most stable polymorph in this dataset: 0.0 kJ/mol of formula units.

=====

Record 22
VASP calculation (PBE) on a relaxed structure of ZnIn2Pt.

It has space group P4/mmm (No. 123), with a = 3.671 Å, b = 3.671 Å, c = 5.700 Å, α = 90.00°, β = 90.00° and γ = 90.00°. The asymmetric unit holds Zn at (0.000, 0.000, 0.000), In at (0.500, 0.500, 0.255) and Pt at (0.000, 0.000, 0.500).

As for the density of states at the Fermi level: 1.238 states/eV/cell. The calculation puts the formation energy from the elements at -141.5 meV/atom. The size of the total moment is 0.00 μB per cell.

=====

Record 23
VASP calculation (PBE) on a relaxed structure of Zn5InPt6.

It has space group Immm (No. 71), with a = 4.112 Å, b = 7.176 Å, c = 12.349 Å, α = 90.00°, β = 90.00° and γ = 90.00°. The asymmetric unit holds Zn at (0.000, 0.000, 0.000), Zn at (0.000, 0.000, 0.331), Zn at (0.000, 0.500, 0.330), In at (0.000, 0.500, 0.000), Pt at (0.000, 0.243, 0.169) and Pt at (0.000, 0.264, 0.500).

As for the density of states at the Fermi level: 6.126 states/eV/cell. The calculation puts the formation energy from the elements at -536.2 meV/atom. The size of the total moment is 0.00 μB per cell.

=====

Record 24
VASP calculation (PBE) on a relaxed structure of ZnInPt.

It has space group P-6m2 (No. 187), with a = 4.4614 Å, b = 4.4614 Å, c = 3.0617 Å, α = 90.00°, β = 90.00° and γ = 120.00°. The asymmetric unit holds Zn at (0.0000, 0.0000, 0.0000), In at (0.6667, 0.3333, 0.5000) and Pt at (0.3333, 0.6667, 0.0000).

As for the density of states at the Fermi level: 0.608 states/eV/cell. The calculation puts the formation energy from the elements at -266.6 meV/atom. The size of the total moment is 0.00 μB per cell.

=====

Record 25
VASP calculation (PBE) on a relaxed structure of Zn2In2Pt.

It has space group P4/mbm (No. 127), with a = 7.104 Å, b = 7.104 Å, c = 4.101 Å, α = 90.00°, β = 90.00° and γ = 90.00°. The asymmetric unit holds Zn at (0.146, 0.354, 0.000), In at (0.157, 0.657, 0.500) and Pt at (0.000, 0.000, 0.500).

As for the density of states at the Fermi level: 3.692 states/eV/cell. The calculation puts the formation energy from the elements at 89.0 meV/atom. The size of the total moment is 0.00 μB per cell. As for the energy above the most stable polymorph in this dataset: 72.6 kJ/mol of formula units.

=====

Record 26
VASP calculation (PBE) on a relaxed structure of ZnIn2Pt.

It has space group Cmmm (No. 65), with a = 5.620 Å, b = 7.237 Å, c = 3.807 Å, α = 90.00°, β = 90.00° and γ = 90.00°. The asymmetric unit holds Zn at (0.000, 0.000, 0.000), In at (0.250, 0.250, 0.500) and Pt at (0.000, 0.500, 0.000).

As for the density of states at the Fermi level: 2.614 states/eV/cell. The calculation puts the formation energy from the elements at -125.5 meV/atom. The size of the total moment is 0.00 μB per cell.

=====

Record 27
VASP calculation (PBE) on a relaxed structure of Zn2InPt2.

It has space group I4/mmm (No. 139), with a = 3.618 Å, b = 3.618 Å, c = 13.140 Å, α = 90.00°, β = 90.00° and γ = 90.00°. The asymmetric unit holds Zn at (0.000, 0.500, 0.250), In at (0.000, 0.000, 0.000) and Pt at (0.000, 0.000, 0.395).

As for the density of states at the Fermi level: 2.724 states/eV/cell. The calculation puts the formation energy from the elements at -402.3 meV/atom. The size of the total moment is 0.00 μB per cell. As for the energy above the most stable polymorph in this dataset: 13.6 kJ/mol of formula units.